## i
Entry from Alexandria via LeMat-Bulk: a relaxed VMoSeN2 crystal (PBE-GGA).

## Properties
Fermi-level density of states (states/eV per cell): 2.7
Space-group type: No. 123

Lattice parameters (Å, degrees): 3.783 3.783 5.133 90.00 90.00 90.00
Element x y z (fractional)
V (0.000, 0.000, 0.000)
Mo (0.500, 0.500, 0.500)
Se (0.000, 0.000, 0.500)
N (0.000, 0.500, 0.000)
N (0.500, 0.000, 0.000)

=====

## ii
Entry from Alexandria via LeMat-Bulk: a relaxed VMoSeN2 crystal (PBE-GGA).

## Properties
Fermi-level density of states (states/eV per cell): 7.1
Space-group type: No. 123

Lattice parameters (Å, degrees): 3.877 3.877 5.257 90.00 90.00 90.00
Element x y z (fractional)
V (0.000, 0.000, 0.000)
Mo (0.500, 0.500, 0.500)
Se (0.500, 0.500, 0.000)
N (0.000, 0.500, 0.500)
N (0.500, 0.000, 0.500)

=====

i wins, 3.0 kJ/mol of atoms ahead of the next structure.

=====

## i
Entry from Alexandria via LeMat-Bulk: a relaxed MoWSe2N crystal (PBE-GGA).

## Properties
Fermi-level density of states (states/eV per cell): 2.4
Space-group type: No. 123

Lattice parameters (Å, degrees): 5.060 5.060 3.734 90.00 90.00 90.00
Element x y z (fractional)
Mo (0.000, 0.000, 0.000)
W (0.500, 0.500, 0.500)
Se (0.000, 0.500, 0.000)
Se (0.500, 0.000, 0.000)
N (0.000, 0.000, 0.500)

=====

## ii
Entry from Alexandria via LeMat-Bulk: a relaxed MoWSe2N crystal (PBE-GGA).

## Properties
Fermi-level density of states (states/eV per cell): 3.1
Space-group type: No. 123

Lattice parameters (Å, degrees): 5.074 5.074 3.797 90.00 90.00 90.00
Element x y z (fractional)
Mo (0.000, 0.000, 0.000)
W (0.500, 0.500, 0.500)
Se (0.000, 0.500, 0.500)
Se (0.500, 0.000, 0.500)
N (0.500, 0.500, 0.000)

=====

ii wins, 27.3 kJ/mol of atoms ahead of the next structure.

=====

## i
Entry from Alexandria via LeMat-Bulk: a relaxed YMoSe2N crystal (PBE-GGA).

## Properties
Fermi-level density of states (states/eV per cell): 1.9
Space-group type: No. 123

Lattice parameters (Å, degrees): 5.465 5.465 4.299 90.00 90.00 90.00
Element x y z (fractional)
Y (0.000, 0.000, 0.000)
Mo (0.500, 0.500, 0.500)
Se (0.000, 0.500, 0.000)
Se (0.500, 0.000, 0.000)
N (0.000, 0.000, 0.500)

=====

## ii
Entry from Alexandria via LeMat-Bulk: a relaxed YMoSe2N crystal (PBE-GGA).

## Properties
Fermi-level density of states (states/eV per cell): 2.2
Space-group type: No. 123

Lattice parameters (Å, degrees): 5.123 5.123 3.824 90.00 90.00 90.00
Element x y z (fractional)
Y (0.000, 0.000, 0.000)
Mo (0.500, 0.500, 0.500)
Se (0.000, 0.500, 0.500)
Se (0.500, 0.000, 0.500)
N (0.500, 0.500, 0.000)

=====

ii wins, 116.6 kJ/mol of atoms ahead of the next structure.

=====

## i
Entry from Alexandria via LeMat-Bulk: a relaxed ZnMoSeN2 crystal (PBE-GGA).

## Properties
Fermi-level density of states (states/eV per cell): 2.0
Space-group type: No. 123

Lattice parameters (Å, degrees): 3.873 3.873 5.426 90.00 90.00 90.00
Element x y z (fractional)
Zn (0.000, 0.000, 0.000)
Mo (0.500, 0.500, 0.500)
Se (0.500, 0.500, 0.000)
N (0.000, 0.500, 0.500)
N (0.500, 0.000, 0.500)

=====

## ii
Entry from Alexandria via LeMat-Bulk: a relaxed ZnMoSeN2 crystal (PBE-GGA).

## Properties
Fermi-level density of states (states/eV per cell): 5.5
Space-group type: No. 123

Lattice parameters (Å, degrees): 3.807 3.807 4.930 90.00 90.00 90.00
Element x y z (fractional)
Zn (0.000, 0.000, 0.000)
Mo (0.500, 0.500, 0.500)
Se (0.000, 0.000, 0.500)
N (0.000, 0.500, 0.000)
N (0.500, 0.000, 0.000)

=====

i wins, 134.7 kJ/mol of atoms ahead of the next structure.

=====

## i
Entry from Alexandria via LeMat-Bulk: a relaxed ZrMoSe2N crystal (PBE-GGA).

## Properties
Fermi-level density of states (states/eV per cell): 4.5
Space-group type: No. 123

Lattice parameters (Å, degrees): 5.069 5.069 3.762 90.00 90.00 90.00
Element x y z (fractional)
Zr (0.000, 0.000, 0.000)
Mo (0.500, 0.500, 0.500)
Se (0.000, 0.500, 0.500)
Se (0.500, 0.000, 0.500)
N (0.500, 0.500, 0.000)

=====

## ii
Entry from Alexandria via LeMat-Bulk: a relaxed ZrMoSe2N crystal (PBE-GGA).

## Properties
Fermi-level density of states (states/eV per cell): 3.0
Space-group type: No. 123

Lattice parameters (Å, degrees): 5.314 5.314 3.994 90.00 90.00 90.00
Element x y z (fractional)
Zr (0.000, 0.000, 0.000)
Mo (0.500, 0.500, 0.500)
Se (0.000, 0.500, 0.000)
Se (0.500, 0.000, 0.000)
N (0.000, 0.000, 0.500)

=====

i wins, 41.9 kJ/mol of atoms ahead of the next structure.

=====

## i
Entry from Alexandria via LeMat-Bulk: a relaxed SiMo2N2 crystal (PBE-GGA).

## Properties
Fermi-level density of states (states/eV per cell): 7.0
Space-group type: No. 127

Lattice parameters (Å, degrees): 6.317 6.317 2.691 90.00 90.00 90.00
Element x y z (fractional)
Si (0.000, 0.000, 0.000)
Si (0.500, 0.500, 0.000)
Mo (0.168, 0.332, 0.500)
Mo (0.332, 0.832, 0.500)
Mo (0.668, 0.168, 0.500)
Mo (0.832, 0.668, 0.500)
N (0.130, 0.630, 0.000)
N (0.370, 0.130, 0.000)
N (0.630, 0.870, 0.000)
N (0.870, 0.370, 0.000)

=====

## ii
Entry from Alexandria via LeMat-Bulk: a relaxed SiMo2N2 crystal (PBE-GGA).

## Properties
Fermi-level density of states (states/eV per cell): 9.7
Space-group type: No. 139

Lattice parameters (Å, degrees): 4.193 4.193 6.822 90.00 90.00 90.00
Element x y z (fractional)
Si (0.000, 0.000, 0.000)
Si (0.500, 0.500, 0.500)
Mo (0.000, 0.500, 0.250)
Mo (0.000, 0.500, 0.750)
Mo (0.500, 0.000, 0.250)
Mo (0.500, 0.000, 0.750)
N (0.000, 0.000, 0.289)
N (0.000, 0.000, 0.711)
N (0.500, 0.500, 0.211)
N (0.500, 0.500, 0.789)

=====

ii wins, 16.6 kJ/mol of atoms ahead of the next structure.

=====

## i
Entry from Alexandria via LeMat-Bulk: a relaxed Si3MoN crystal (PBE-GGA).

## Properties
Fermi-level density of states (states/eV per cell): 2.9
Space-group type: No. 221

Lattice parameters (Å, degrees): 3.965 3.965 3.965 90.00 90.00 90.00
Element x y z (fractional)
Si (0.000, 0.000, 0.500)
Si (0.000, 0.500, 0.000)
Si (0.500, 0.000, 0.000)
Mo (0.500, 0.500, 0.500)
N (0.000, 0.000, 0.000)

=====

## ii
Entry from Alexandria via LeMat-Bulk: a relaxed Si3MoN crystal (PBE-GGA).

## Properties
Fermi-level density of states (states/eV per cell): 0.5
Space-group type: No. 221

Lattice parameters (Å, degrees): 4.733 4.733 4.733 90.00 90.00 90.00
Element x y z (fractional)
Si (0.000, 0.000, 0.500)
Si (0.000, 0.500, 0.000)
Si (0.500, 0.000, 0.000)
Mo (0.000, 0.000, 0.000)
N (0.500, 0.500, 0.500)

=====

i wins, 82.8 kJ/mol of atoms ahead of the next structure.

=====

## i
Entry from Alexandria via LeMat-Bulk: a relaxed Sm2MoN4 crystal (PBE-GGA).

## Properties
Space-group type: No. 11

Lattice parameters (Å, degrees): 5.872 5.949 6.787 90.00 108.36 90.00
Element x y z (fractional)
Sm (0.177, 0.250, 0.028)
Sm (0.259, 0.250, 0.560)
Sm (0.741, 0.750, 0.440)
Sm (0.823, 0.750, 0.972)
Mo (0.270, 0.750, 0.808)
Mo (0.730, 0.250, 0.192)
N (0.046, 0.509, 0.747)
N (0.046, 0.991, 0.747)
N (0.455, 0.750, 0.083)
N (0.479, 0.750, 0.651)
N (0.521, 0.250, 0.349)
N (0.545, 0.250, 0.917)
N (0.954, 0.009, 0.253)
N (0.954, 0.491, 0.253)

=====

## ii
Entry from Alexandria via LeMat-Bulk: a relaxed Sm2MoN4 crystal (PBE-GGA).

## Properties
Space-group type: No. 70

Lattice parameters (Å, degrees): 8.265 7.194 6.222 75.67 57.49 46.84
Element x y z (fractional)
Sm (0.068, 0.682, 0.068)
Sm (0.318, 0.932, 0.318)
Sm (0.682, 0.068, 0.682)
Sm (0.932, 0.318, 0.932)
Mo (0.375, 0.375, 0.375)
Mo (0.625, 0.625, 0.625)
N (0.172, 0.726, 0.345)
N (0.257, 0.345, 0.726)
N (0.274, 0.828, 0.743)
N (0.345, 0.257, 0.172)
N (0.655, 0.743, 0.828)
N (0.726, 0.172, 0.257)
N (0.743, 0.655, 0.274)
N (0.828, 0.274, 0.655)

=====

ii wins, 8.7 kJ/mol of atoms ahead of the next structure.